# CdRuNO2

Crystalline CdRuNO2 at its relaxed geometry (PBE, the Alexandria database).

It has space group P4/mmm (No. 123), with a = 4.0380 Å, b = 4.0380 Å, c = 3.7343 Å, α = 90.00°, β = 90.00° and γ = 90.00°. Symmetry generates all atoms from Cd at (0.0000, 0.0000, 0.0000), Ru at (0.5000, 0.5000, 0.5000), N at (0.5000, 0.5000, 0.0000) and O at (0.0000, 0.5000, 0.5000).

For the size of the total moment, the calculation gives 0.0 Bohr magnetons per cell. For the uncorrected formation energy, the calculation gives -0.0916 eV/atom.